This record from the Alexandria database describes crystalline Pa2PtW at its relaxed geometry. The functional is PBE.

Properties
Offset from the most stable computed form in eV/f.u.: 1.645
N(E_F) in states/eV/f.u.: 4.70
ΔE_f in eV/atom: 0.235

Lattice parameters (Å, degrees): 3.017 3.017 10.743 81.93 81.93 60.00
Fractional positions:
W (0.500, 0.500, 0.500)
Pt (0.000, 0.000, 0.000)
Pa (0.914, 0.914, 0.259)
Pa (0.086, 0.086, 0.741)


This record from the Alexandria database describes crystalline K2AlNi at its relaxed geometry. The functional is PBE.

Properties
N(E_F) in states/eV/f.u.: 1.55
ΔE_f in eV/atom: 0.175

Lattice parameters (Å, degrees): 3.457 3.457 10.192 90.00 90.00 90.00
Fractional positions:
K (0.500, 0.500, 0.327)
K (0.000, 0.000, 0.922)
Ni (0.000, 0.000, 0.611)
Al (0.500, 0.500, 0.641)


This record from the Alexandria database describes crystalline BaNaBeF5 at its relaxed geometry. The functional is PBE.

Properties
N(E_F) in states/eV/f.u.: 0.00
E_form (uncorrected) in eV per atom: -3.364

Lattice parameters (Å, degrees): 6.157 6.157 7.262 99.55 99.55 108.98
Fractional positions:
F (0.275, 0.466, 0.588)
F (0.661, 0.099, 0.352)
F (0.339, 0.901, 0.648)
F (0.534, 0.725, 0.912)
F (0.725, 0.534, 0.412)
F (0.102, 0.898, 0.250)
F (0.901, 0.339, 0.148)
F (0.898, 0.102, 0.750)
F (0.466, 0.275, 0.088)
F (0.099, 0.661, 0.852)
Be (0.690, 0.310, 0.250)
Be (0.310, 0.690, 0.750)
Ba (0.347, 0.653, 0.250)
Ba (0.653, 0.347, 0.750)
Na (0.000, 0.000, 0.000)
Na (0.000, 0.000, 0.500)


This record from the Alexandria database describes crystalline LiCa2OsN at its relaxed geometry. The functional is PBE.

Properties
N(E_F) in states/eV/f.u.: 2.21
E_form (uncorrected) in eV per atom: -0.317

Lattice parameters (Å, degrees): 5.112 5.112 3.812 90.00 90.00 90.00
Fractional positions:
Ca (0.000, 0.500, 0.000)
Ca (0.500, 0.000, 0.000)
Os (0.000, 0.000, 0.500)
N (0.000, 0.000, 0.000)
Li (0.500, 0.500, 0.500)


This record from the Alexandria database describes crystalline Rb2MnInH6 at its relaxed geometry. The functional is PBE.

Properties
N(E_F) in states/eV/f.u.: 1.33
E in eV/atom: -3.39

Lattice parameters (Å, degrees): 5.993 5.993 5.995 59.94 59.94 89.85
Fractional positions:
Rb (0.250, 0.750, 0.500)
Rb (0.750, 0.250, 0.500)
H (0.712, 0.288, 0.000)
H (0.288, 0.288, 0.999)
H (0.710, 0.710, 0.578)
H (0.288, 0.712, 0.000)
H (0.290, 0.290, 0.422)
H (0.712, 0.712, 0.001)
Mn (0.500, 0.500, 0.000)
In (0.000, 0.000, 0.000)


This record from the Alexandria database describes crystalline Sm12Zn5Au3 at its relaxed geometry. The functional is PBE.

Properties
N(E_F) in states/eV/f.u.: 26.40
ΔE_f in eV/atom: 0.048

Lattice parameters (Å, degrees): 14.926 14.926 14.926 109.47 109.47 109.47
Fractional positions:
Sm (0.576, 0.632, 0.408)
Sm (0.276, 0.868, 0.944)
Sm (0.368, 0.424, 0.092)
Sm (0.168, 0.092, 0.724)
Sm (0.556, 0.332, 0.924)
Sm (0.868, 0.592, 0.924)
Sm (0.132, 0.724, 0.556)
Sm (0.168, 0.076, 0.944)
Sm (0.776, 0.332, 0.908)
Sm (0.332, 0.776, 0.408)
Sm (0.668, 0.444, 0.576)
Sm (0.944, 0.576, 0.168)
Sm (0.132, 0.408, 0.076)
Sm (0.592, 0.724, 0.668)
Sm (0.908, 0.076, 0.632)
Sm (0.632, 0.576, 0.908)
Sm (0.832, 0.908, 0.276)
Sm (0.092, 0.168, 0.224)
Sm (0.332, 0.556, 0.424)
Sm (0.076, 0.168, 0.444)
Sm (0.924, 0.092, 0.868)
Sm (0.632, 0.056, 0.224)
Sm (0.592, 0.868, 0.424)
Sm (0.576, 0.944, 0.668)
Sm (0.408, 0.276, 0.332)
Sm (0.724, 0.592, 0.168)
Sm (0.556, 0.224, 0.132)
Sm (0.444, 0.668, 0.076)
Sm (0.776, 0.444, 0.368)
Sm (0.908, 0.832, 0.776)
Sm (0.444, 0.776, 0.868)
Sm (0.724, 0.132, 0.056)
Sm (0.076, 0.908, 0.132)
Sm (0.408, 0.132, 0.576)
Sm (0.224, 0.556, 0.632)
Sm (0.944, 0.368, 0.276)
Sm (0.056, 0.424, 0.832)
Sm (0.056, 0.632, 0.724)
Sm (0.092, 0.924, 0.368)
Sm (0.224, 0.668, 0.092)
Sm (0.668, 0.224, 0.592)
Sm (0.424, 0.368, 0.592)
Sm (0.368, 0.944, 0.776)
Sm (0.868, 0.276, 0.444)
Sm (0.924, 0.832, 0.556)
Sm (0.832, 0.924, 0.056)
Sm (0.424, 0.056, 0.332)
Sm (0.276, 0.408, 0.832)
Zn (0.500, 0.500, 0.000)
Zn (0.500, 0.500, 0.500)
Zn (0.750, 0.125, 0.875)
Zn (0.250, 0.375, 0.625)
Zn (0.250, 0.875, 0.125)
Zn (0.000, 0.500, 0.500)
Zn (0.875, 0.250, 0.625)
Zn (0.000, 0.500, 0.000)
Zn (0.000, 0.000, 0.000)
Zn (0.875, 0.625, 0.750)
Zn (0.125, 0.375, 0.250)
Zn (0.625, 0.750, 0.875)
Zn (0.375, 0.125, 0.750)
Zn (0.500, 0.000, 0.000)
Zn (0.750, 0.625, 0.375)
Zn (0.375, 0.250, 0.125)
Zn (0.625, 0.875, 0.250)
Zn (0.500, 0.000, 0.500)
Zn (0.125, 0.750, 0.375)
Zn (0.000, 0.000, 0.500)
Au (0.875, 0.750, 0.125)
Au (0.625, 0.375, 0.750)
Au (0.250, 0.625, 0.875)
Au (0.250, 0.125, 0.375)
Au (0.625, 0.250, 0.375)
Au (0.375, 0.625, 0.250)
Au (0.375, 0.750, 0.625)
Au (0.750, 0.875, 0.625)
Au (0.875, 0.125, 0.250)
Au (0.750, 0.375, 0.125)
Au (0.125, 0.875, 0.750)
Au (0.125, 0.250, 0.875)


This record from the Alexandria database describes crystalline Tb4PrY3 at its relaxed geometry. The functional is PBE.

Properties
Offset from the most stable computed form in eV/f.u.: 0.000
N(E_F) in states/eV/f.u.: 13.46
ΔE_f in eV/atom: 0.011

Lattice parameters (Å, degrees): 6.325 7.331 11.401 90.00 90.00 90.00
Fractional positions:
Y (0.982, 0.627, 0.250)
Y (0.146, 0.373, 0.500)
Y (0.982, 0.627, 0.750)
Y (0.646, 0.627, 0.000)
Y (0.482, 0.373, 0.250)
Y (0.482, 0.373, 0.750)
Tb (0.650, 0.123, 0.000)
Tb (0.150, 0.877, 0.500)
Tb (0.481, 0.877, 0.248)
Tb (0.149, 0.876, 0.000)
Tb (0.481, 0.877, 0.752)
Tb (0.649, 0.124, 0.500)
Tb (0.981, 0.123, 0.252)
Tb (0.981, 0.123, 0.748)
Pr (0.145, 0.373, 0.000)
Pr (0.645, 0.627, 0.500)


This record from the Alexandria database describes crystalline CsLiThI6 at its relaxed geometry. The functional is PBE.

Properties
N(E_F) in states/eV/f.u.: 0.00
E_form (uncorrected) in eV per atom: -1.307

Lattice parameters (Å, degrees): 7.922 7.922 17.481 90.00 90.00 120.00
Fractional positions:
Cs (0.000, 0.000, 0.500)
Cs (0.000, 0.000, 0.000)
I (0.003, 0.372, 0.148)
I (0.997, 0.628, 0.852)
I (0.372, 0.369, 0.852)
I (0.628, 0.631, 0.148)
I (0.997, 0.369, 0.648)
I (0.631, 0.628, 0.648)
I (0.628, 0.997, 0.352)
I (0.372, 0.003, 0.648)
I (0.369, 0.997, 0.148)
I (0.631, 0.003, 0.852)
I (0.003, 0.631, 0.352)
I (0.369, 0.372, 0.352)
Th (0.333, 0.667, 0.750)
Th (0.667, 0.333, 0.250)
Li (0.333, 0.667, 0.250)
Li (0.667, 0.333, 0.750)


This record from the Alexandria database describes crystalline RbP2RhO8 at its relaxed geometry. The functional is PBE.

Properties
N(E_F) in states/eV/f.u.: 4.61
E_form (uncorrected) in eV per atom: -1.612

Lattice parameters (Å, degrees): 5.216 5.216 9.066 73.28 73.28 60.00
Fractional positions:
O (0.376, 0.888, 0.360)
O (0.624, 0.112, 0.640)
O (0.709, 0.709, 0.874)
O (0.376, 0.376, 0.360)
O (0.624, 0.624, 0.640)
O (0.888, 0.376, 0.360)
O (0.112, 0.624, 0.640)
O (0.291, 0.291, 0.126)
Rh (0.500, 0.500, 0.500)
Rb (0.000, 0.000, 0.000)
P (0.768, 0.768, 0.698)
P (0.232, 0.232, 0.302)


This record from the Alexandria database describes crystalline LiNdCoGe2 at its relaxed geometry. The functional is PBE.

Properties
N(E_F) in states/eV/f.u.: 3.52
ΔE_f in eV/atom: -0.529

Lattice parameters (Å, degrees): 4.155 4.155 5.866 110.74 110.74 90.00
Fractional positions:
Ge (0.372, 0.372, 0.744)
Ge (0.628, 0.628, 0.256)
Co (0.750, 0.250, 0.500)
Li (0.250, 0.750, 0.500)
Nd (0.000, 0.000, 0.000)